1 | Entry from Alexandria via LeMat-Bulk: a relaxed structure of RbPb (PBE).

Structure (POSCAR):
```
RbPb
1.0
-5.8234 -4.4068 1.7202
4.3954 -4.0316 4.5516
-1.7491 4.5406 5.7109
Rb Pb
4 4
Direct
0.5000 0.0000 0.5000
0.0000 0.0000 0.0000
0.5000 0.5000 0.0000
0.0000 0.5000 0.5000
0.5000 0.5000 0.5000
0.0000 0.5000 0.0000
0.5000 0.0000 0.0000
0.0000 0.0000 0.5000
```

Properties
space-group type	No. 225

=====

2 | Entry from Alexandria via LeMat-Bulk: a relaxed structure of RbPb (PBE).

Structure (POSCAR):
```
RbPb
1.0
-7.4798 7.1270 -1.3798
3.5945 -5.4258 -8.1415
-4.3919 -4.4151 1.0033
Rb Pb
6 6
Direct
0.8163 0.1837 0.2500
0.6325 0.8163 0.7500
0.8163 0.6325 0.2500
0.1837 0.8163 0.7500
0.3675 0.1837 0.2500
0.1837 0.3675 0.7500
0.4338 0.8677 0.2500
0.8677 0.4338 0.7500
0.4338 0.5662 0.2500
0.5662 0.1323 0.7500
0.5662 0.4338 0.7500
0.1323 0.5662 0.2500
```

Properties
space-group type	No. 194

=====

3 | Entry from Alexandria via LeMat-Bulk: a relaxed structure of RbPb (PBE).

Structure (POSCAR):
```
RbPb
1.0
13.9670 0.0000 0.0000
0.0000 13.9670 0.0000
0.0000 0.0000 4.8977
Pb Rb
8 8
Direct
0.7948 0.7948 0.0000
0.2052 0.7948 0.0000
0.7052 0.2948 0.5000
0.2948 0.2948 0.5000
0.7948 0.2052 0.0000
0.7052 0.7052 0.5000
0.2052 0.2052 0.0000
0.2948 0.7052 0.5000
0.2585 0.5000 0.0000
0.2415 0.0000 0.5000
0.0000 0.7585 0.5000
0.5000 0.2585 0.0000
0.5000 0.7415 0.0000
0.7415 0.5000 0.0000
0.7585 0.0000 0.5000
0.0000 0.2415 0.5000
```

Properties
space-group type	No. 139

=====

4 | Entry from Alexandria via LeMat-Bulk: a relaxed structure of RbPb (PBE).

Structure (POSCAR):
```
RbPb
1.0
5.8873 0.0000 0.0000
0.0000 14.7477 0.0000
0.0000 0.0000 6.4979
Rb Pb
6 6
Direct
0.5000 0.0000 0.2017
0.5000 0.3402 0.2495
0.5000 0.8402 0.7495
0.5000 0.6598 0.2495
0.5000 0.5000 0.7017
0.5000 0.1598 0.7495
0.0000 0.8086 0.3705
0.0000 0.0000 0.5603
0.0000 0.5000 0.0603
0.0000 0.3086 0.8705
0.0000 0.6914 0.8705
0.0000 0.1914 0.3705
```

Properties
space-group type	No. 38

=====

The winner here is 2, beating the second structure by 44 meV/atom.

=====

1 | Entry from Alexandria via LeMat-Bulk: a relaxed structure of RbPb (PBE).

Structure (POSCAR):
```
RbPb
1.0
6.4971 0.0000 0.0000
-3.2486 5.6267 0.0000
0.0000 0.0000 7.4640
Rb Pb
2 2
Direct
0.6667 0.3333 0.7500
0.3333 0.6667 0.2500
0.6667 0.3333 0.2500
0.3333 0.6667 0.7500
```

Properties
space-group type	No. 194

=====

2 | Entry from Alexandria via LeMat-Bulk: a relaxed structure of RbPb (PBE).

Structure (POSCAR):
```
RbPb
1.0
-5.3237 4.4184 -0.9716
-9.3551 -13.2353 -8.9294
-4.5151 -3.3185 9.6492
Pb Rb
16 16
Direct
0.5000 0.9197 0.5000
0.0000 0.9197 0.0000
0.5000 0.4197 0.0000
0.2500 0.3303 0.7500
0.7500 0.8303 0.7500
0.7500 0.1697 0.2500
0.2500 0.6697 0.2500
0.5000 0.0803 0.5000
0.7500 0.6697 0.7500
0.2500 0.8303 0.2500
0.0000 0.0803 0.0000
0.0000 0.5803 0.5000
0.5000 0.5803 0.0000
0.0000 0.4197 0.5000
0.2500 0.1697 0.7500
0.7500 0.3303 0.2500
0.5000 0.5000 0.3345
0.7500 0.7500 0.4155
0.5000 0.0000 0.8345
0.7500 0.2500 0.5845
0.0000 0.5000 0.1655
0.5000 0.5000 0.6655
0.7500 0.2500 0.9155
0.2500 0.2500 0.0845
0.2500 0.7500 0.9155
0.0000 0.0000 0.6655
0.0000 0.5000 0.8345
0.0000 0.0000 0.3345
0.2500 0.7500 0.5845
0.5000 0.0000 0.1655
0.7500 0.7500 0.0845
0.2500 0.2500 0.4155
```

Properties
space-group type	No. 70

=====

The winner here is 2, beating the second structure by 687 meV/atom.

=====

1 | Entry from Alexandria via LeMat-Bulk: a relaxed structure of RbPb (PBE).

Structure (POSCAR):
```
RbPb
1.0
-0.3931 -2.0658 10.5118
-10.2398 -3.0190 -0.9763
3.1485 -10.0766 -1.8626
Pb Rb
6 6
Direct
0.7500 0.0000 0.5000
0.5000 0.2500 0.0000
0.0000 0.5000 0.2500
0.5000 0.7500 0.0000
0.2500 0.0000 0.5000
0.0000 0.5000 0.7500
0.5000 0.0000 0.7500
0.0000 0.2500 0.5000
0.0000 0.7500 0.5000
0.7500 0.5000 0.0000
0.2500 0.5000 0.0000
0.5000 0.0000 0.2500
```

Properties
space-group type	No. 223

=====

2 | Entry from Alexandria via LeMat-Bulk: a relaxed structure of RbPb (PBE).

Structure (POSCAR):
```
RbPb
1.0
4.8015 0.0000 0.0000
0.0000 6.3523 0.0000
-2.4008 -3.1761 5.7923
Pb Rb
2 2
Direct
0.6690 0.4190 0.3381
0.3310 0.5810 0.6619
0.9036 0.1536 0.8073
0.0964 0.8464 0.1927
```

Properties
space-group type	No. 74

=====

The winner here is 2, beating the second structure by 843 meV/atom.

=====

1 | Entry from Alexandria via LeMat-Bulk: a relaxed structure of RbPb (PBE).

Structure (POSCAR):
```
RbPb
1.0
3.6048 0.0000 0.0000
0.0000 3.6048 0.0000
0.0000 0.0000 6.0600
Rb Pb
1 1
Direct
0.0000 0.0000 0.0000
0.5000 0.5000 0.5000
```

Properties
space-group type	No. 123

=====

2 | Entry from Alexandria via LeMat-Bulk: a relaxed structure of RbPb (PBE).

Structure (POSCAR):
```
RbPb
1.0
8.2249 0.0000 0.0000
0.0000 8.2249 0.0000
0.0000 0.0000 9.5674
Rb Pb
8 8
Direct
0.2384 0.0440 0.6378
0.4560 0.7383 0.3878
0.2616 0.5440 0.1122
0.7617 0.9560 0.1378
0.9560 0.7617 0.8622
0.7383 0.4560 0.6122
0.0440 0.2384 0.3622
0.5440 0.2616 0.8878
0.2660 0.0140 0.0830
0.7340 0.9860 0.5830
0.0140 0.2660 0.9170
0.9860 0.7340 0.4170
0.5140 0.2340 0.3330
0.7660 0.4860 0.1670
0.4860 0.7660 0.8330
0.2340 0.5140 0.6670
```

Properties
space-group type	No. 96

=====

The winner here is 2, beating the second structure by 114 meV/atom.

=====

1 | Entry from Alexandria via LeMat-Bulk: a relaxed structure of RbPb (PBE).

Structure (POSCAR):
```
RbPb
1.0
-6.2975 -0.6430 5.5873
5.3003 -3.4836 5.5732
1.8809 7.6642 3.0019
Pb Rb
4 4
Direct
0.5000 0.5000 0.0000
0.0000 0.0000 0.0000
0.0000 0.5000 0.5000
0.5000 0.0000 0.5000
0.2500 0.2500 0.2500
0.7500 0.7500 0.2500
0.7500 0.2500 0.7500
0.2500 0.7500 0.7500
```

Properties
space-group type	No. 216

=====

2 | Entry from Alexandria via LeMat-Bulk: a relaxed structure of RbPb (PBE).

Structure (POSCAR):
```
RbPb
1.0
-5.1975 4.0519 3.8747
2.1562 -3.4325 6.4818
5.2091 5.5357 1.1986
Pb Rb
4 4
Direct
0.8703 0.8703 0.0000
0.3703 0.6297 0.5000
0.6297 0.3703 0.5000
0.1297 0.1297 0.0000
0.3278 0.6722 0.0000
0.6722 0.3278 0.0000
0.1722 0.1722 0.5000
0.8278 0.8278 0.5000
```

Properties
space-group type	No. 136

=====

The winner here is 2, beating the second structure by 731 meV/atom.